# 1
DFT (PBE) results for an optimized crystal structure of AgBIO2.

Properties
* formation energy (no corrections): 5.8 eV per formula unit

Cell: 3.9303 3.9303 7.3472 Å, 90.00 90.00 90.00°
Closest atoms and distances in Å follow each position.
Atoms (fractional coordinates):
Ag 0.0000 0.0000 0.0000  4 O 1.97
B 0.5000 0.5000 0.5000  4 I 2.78
I 0.0000 0.0000 0.5000  4 B 2.78
O 0.0000 0.5000 0.0000  2 Ag 1.97
O 0.5000 0.0000 0.0000  2 Ag 1.97

# 2
DFT (PBE) results for an optimized crystal structure of AgB2PtI.

Properties
* formation energy (no corrections): 7.2 eV per formula unit

Cell: 4.1023 4.1023 5.6364 Å, 90.00 90.00 90.00°
Closest atoms and distances in Å follow each position.
Atoms (fractional coordinates):
Ag 0.0000 0.0000 0.0000  4 B 2.05
B 0.0000 0.5000 0.0000  2 Ag 2.05
B 0.5000 0.0000 0.0000  2 Ag 2.05
Pt 0.0000 0.0000 0.5000  2 Ag 2.82, 4 I 2.90
I 0.5000 0.5000 0.5000  4 Pt 2.90

# 3
DFT (PBE) results for an optimized crystal structure of RbAgB2I8.

Properties
* formation energy (no corrections): -3.4 eV per formula unit

Cell: 11.2933 11.2933 11.2933 Å, 36.52 36.52 36.52°
Closest atoms and distances in Å follow each position.
Atoms (fractional coordinates):
Rb 0.0000 0.0000 0.0000  12 I 4.11-4.19
Ag 0.5000 0.5000 0.5000  6 I 3.11
B 0.2486 0.2486 0.2486  4 I 2.25-2.27
B 0.7514 0.7514 0.7514  4 I 2.25-2.27
I 0.0775 0.4685 0.7760  1 B 2.27
I 0.2240 0.9225 0.5315  1 B 2.27
I 0.3199 0.3199 0.3199  1 B 2.25
I 0.4685 0.7760 0.0775  1 B 2.27
I 0.5315 0.2240 0.9225  1 B 2.27
I 0.6801 0.6801 0.6801  1 B 2.25
I 0.7760 0.0775 0.4685  1 B 2.27
I 0.9225 0.5315 0.2240  1 B 2.27

# 4
DFT (PBE) results for an optimized crystal structure of AgBSb2I.

Properties
* formation energy (no corrections): 7.5 eV per formula unit

Cell: 5.3292 5.3292 5.8225 Å, 90.00 90.00 90.00°
Closest atoms and distances in Å follow each position.
Atoms (fractional coordinates):
Ag 0.0000 0.0000 0.0000  4 Sb 2.66, 2 I 2.91
B 0.5000 0.5000 0.5000  4 I 3.77, 8 Sb 3.95
Sb 0.0000 0.5000 0.0000  2 Ag 2.66
Sb 0.5000 0.0000 0.0000  2 Ag 2.66
I 0.0000 0.0000 0.5000  2 Ag 2.91

# 5
DFT (PBE) results for an optimized crystal structure of AgBSb2I.

Properties
* formation energy (no corrections): 4.4 eV per formula unit

Cell: 4.9366 4.9366 4.9573 Å, 90.00 90.00 90.00°
Closest atoms and distances in Å follow each position.
Atoms (fractional coordinates):
Ag 0.0000 0.0000 0.0000  4 I 3.49, 8 Sb 3.50
B 0.5000 0.5000 0.5000  4 Sb 2.47, 2 I 2.48
Sb 0.0000 0.5000 0.5000  2 B 2.47
Sb 0.5000 0.0000 0.5000  2 B 2.47
I 0.5000 0.5000 0.0000  2 B 2.48

# 6
DFT (PBE) results for an optimized crystal structure of SiAgB2I.

Properties
* formation energy (no corrections): 7.6 eV per formula unit

Cell: 4.1786 4.1786 5.8311 Å, 90.00 90.00 90.00°
Closest atoms and distances in Å follow each position.
Atoms (fractional coordinates):
Si 0.0000 0.0000 0.0000  2 Ag 2.92, 4 I 2.95
Ag 0.0000 0.0000 0.5000  4 B 2.09
B 0.0000 0.5000 0.5000  2 Ag 2.09
B 0.5000 0.0000 0.5000  2 Ag 2.09
I 0.5000 0.5000 0.0000  4 Si 2.95

# 7
DFT (PBE) results for an optimized crystal structure of AgSnB2I.

Properties
* formation energy (no corrections): 7.3 eV per formula unit

Cell: 4.3239 4.3239 6.6629 Å, 90.00 90.00 90.00°
Closest atoms and distances in Å follow each position.
Atoms (fractional coordinates):
Ag 0.0000 0.0000 0.0000  4 B 2.16
Sn 0.5000 0.5000 0.5000  4 I 3.06
B 0.0000 0.5000 0.0000  2 Ag 2.16
B 0.5000 0.0000 0.0000  2 Ag 2.16
I 0.0000 0.0000 0.5000  4 Sn 3.06, 2 Ag 3.33

# 8
DFT (PBE) results for an optimized crystal structure of Sr2AgBI.

Properties
* formation energy (no corrections): -0.6 eV per formula unit

Cell: 6.1041 6.1041 4.1947 Å, 90.00 90.00 90.00°
Closest atoms and distances in Å follow each position.
Atoms (fractional coordinates):
Sr 0.0000 0.5000 0.0000  2 Ag 3.05
Sr 0.5000 0.0000 0.0000  2 Ag 3.05
Ag 0.0000 0.0000 0.0000  2 B 2.10
B 0.0000 0.0000 0.5000  2 Ag 2.10
I 0.5000 0.5000 0.5000  8 Sr 3.70

# 9
DFT (PBE) results for an optimized crystal structure of AgBTe2I.

Properties
* formation energy (no corrections): 6.6 eV per formula unit

Cell: 5.4380 5.4380 5.6767 Å, 90.00 90.00 90.00°
Closest atoms and distances in Å follow each position.
Atoms (fractional coordinates):
Ag 0.0000 0.0000 0.0000  4 Te 2.72, 2 I 2.84
B 0.5000 0.5000 0.5000  4 I 3.85, 8 Te 3.93
Te 0.0000 0.5000 0.0000  2 Ag 2.72
Te 0.5000 0.0000 0.0000  2 Ag 2.72
I 0.0000 0.0000 0.5000  2 Ag 2.84

# 10
DFT (PBE) results for an optimized crystal structure of AgBTe2I.

Properties
* formation energy (no corrections): 4.0 eV per formula unit

Cell: 4.9517 4.9517 5.0729 Å, 90.00 90.00 90.00°
Closest atoms and distances in Å follow each position.
Atoms (fractional coordinates):
Ag 0.0000 0.0000 0.0000  4 I 3.50, 8 Te 3.54
B 0.5000 0.5000 0.5000  4 Te 2.48, 2 I 2.54
Te 0.0000 0.5000 0.5000  2 B 2.48
Te 0.5000 0.0000 0.5000  2 B 2.48
I 0.5000 0.5000 0.0000  2 B 2.54

# 11
DFT (PBE) results for an optimized crystal structure of InAg2B.

Properties
* formation energy from the elements: 0.77 eV/atom

Cell: 7.7621 7.7621 7.7621 Å, 142.55 142.55 54.01°
Closest atoms and distances in Å follow each position.
Atoms (fractional coordinates):
In 0.0000 0.0000 0.0000  4 Ag 2.86
In 0.7500 0.2500 0.5000  4 Ag 2.86
Ag 0.2581 0.6250 0.1331  2 B 2.21
Ag 0.3750 0.5081 0.6331  2 B 2.21
Ag 0.4919 0.1250 0.8669  2 B 2.21
Ag 0.8750 0.7419 0.3669  2 B 2.21
B 0.2500 0.7500 0.5000  4 Ag 2.21
B 0.5000 0.5000 0.0000  4 Ag 2.21

# 12
DFT (PBE) results for an optimized crystal structure of In2AgB.

Properties
* formation energy from the elements: 0.65 eV/atom

Cell: 7.1151 7.1151 7.1151 Å, 131.11 131.11 71.63°
Closest atoms and distances in Å follow each position.
Atoms (fractional coordinates):
In 0.0304 0.6250 0.9054  2 B 2.26
In 0.3750 0.2804 0.4054  2 B 2.26
In 0.7196 0.1250 0.0946  2 B 2.26
In 0.8750 0.9696 0.5946  2 B 2.26
Ag 0.2500 0.7500 0.5000  4 In 2.89
Ag 0.5000 0.5000 0.0000  4 In 2.89
B 0.0000 0.0000 0.0000  4 In 2.26
B 0.7500 0.2500 0.5000  4 In 2.26

# 13
DFT (PBE) results for an optimized crystal structure of InAgB3.

Properties
* formation energy from the elements: 1.91 eV/atom

Cell: 4.3138 4.3138 4.3138 Å, 90.00 90.00 90.00°
Closest atoms and distances in Å follow each position.
Atoms (fractional coordinates):
In 0.0000 0.0000 0.0000  12 B 3.05
Ag 0.5000 0.5000 0.5000  6 B 2.16
B 0.0000 0.5000 0.5000  2 Ag 2.16
B 0.5000 0.0000 0.5000  2 Ag 2.16
B 0.5000 0.5000 0.0000  2 Ag 2.16

# 14
DFT (PBE) results for an optimized crystal structure of In3AgB.

Properties
* formation energy from the elements: 0.55 eV/atom

Cell: 4.8512 4.8512 4.8512 Å, 90.00 90.00 90.00°
Closest atoms and distances in Å follow each position.
Atoms (fractional coordinates):
In 0.0000 0.0000 0.5000  2 B 2.43
In 0.0000 0.5000 0.0000  2 B 2.43
In 0.5000 0.0000 0.0000  2 B 2.43
Ag 0.5000 0.5000 0.5000  12 In 3.43
B 0.0000 0.0000 0.0000  6 In 2.43

# 15
DFT (PBE) results for an optimized crystal structure of InAg2B.

Properties
* formation energy from the elements: 0.89 eV/atom

Cell: 4.6064 4.6064 4.6064 Å, 60.00 60.00 60.00°
Closest atoms and distances in Å follow each position.
Atoms (fractional coordinates):
In 0.0000 0.0000 0.0000  8 Ag 2.82
Ag 0.2500 0.2500 0.2500  4 In 2.82, 4 B 2.82
Ag 0.7500 0.7500 0.7500  4 B 2.82, 4 In 2.82
B 0.5000 0.5000 0.5000  8 Ag 2.82

# 16
DFT (PBE) results for an optimized crystal structure of In3AgB.

Properties
* formation energy from the elements: 1.17 eV/atom

Cell: 5.2961 5.2961 5.2961 Å, 90.00 90.00 90.00°
Closest atoms and distances in Å follow each position.
Atoms (fractional coordinates):
In 0.0000 0.0000 0.5000  2 Ag 2.65
In 0.0000 0.5000 0.0000  2 Ag 2.65
In 0.5000 0.0000 0.0000  2 Ag 2.65
Ag 0.0000 0.0000 0.0000  6 In 2.65
B 0.5000 0.5000 0.5000  12 In 3.74

# 17
DFT (PBE) results for an optimized crystal structure of InAgB3.

Properties
* formation energy from the elements: 2.30 eV/atom

Cell: 4.5141 4.5141 4.5141 Å, 90.00 90.00 90.00°
Closest atoms and distances in Å follow each position.
Atoms (fractional coordinates):
In 0.0000 0.0000 0.0000  6 B 2.26
Ag 0.5000 0.5000 0.5000  12 B 3.19
B 0.0000 0.0000 0.5000  2 In 2.26
B 0.0000 0.5000 0.0000  2 In 2.26
B 0.5000 0.0000 0.0000  2 In 2.26

# 18
DFT (PBE) results for an optimized crystal structure of MgIn2AgB.

Properties
* formation energy from the elements: 1.36 eV/atom

Cell: 5.4118 5.4118 4.9845 Å, 90.00 90.00 90.00°
Closest atoms and distances in Å follow each position.
Atoms (fractional coordinates):
Mg 0.0000 0.0000 0.0000  2 Ag 2.49, 4 In 2.71
In 0.0000 0.5000 0.0000  2 Mg 2.71
In 0.5000 0.0000 0.0000  2 Mg 2.71
Ag 0.0000 0.0000 0.5000  2 Mg 2.49
B 0.5000 0.5000 0.5000  8 In 3.68, 4 Ag 3.83

# 19
DFT (PBE) results for an optimized crystal structure of InAg2BMo.

Properties
* formation energy from the elements: 2.16 eV/atom

Cell: 4.9767 4.9767 5.2296 Å, 90.00 90.00 90.00°
Closest atoms and distances in Å follow each position.
Atoms (fractional coordinates):
In 0.0000 0.0000 0.0000  2 Mo 2.61
Ag 0.0000 0.5000 0.5000  2 Mo 2.49
Ag 0.5000 0.0000 0.5000  2 Mo 2.49
B 0.5000 0.5000 0.0000  4 In 3.52, 8 Ag 3.61
Mo 0.0000 0.0000 0.5000  4 Ag 2.49, 2 In 2.61

# 20
DFT (PBE) results for an optimized crystal structure of InAg2B2O6.

Properties
* formation energy (no corrections): -15.4 eV per formula unit

Cell: 5.2332 5.2332 6.0809 Å, 90.00 90.00 120.00°
Closest atoms and distances in Å follow each position.
Atoms (fractional coordinates):
In 0.0000 0.0000 0.0000  6 O 2.19
Ag 0.3333 0.6667 0.3062  3 O 2.26
Ag 0.6667 0.3333 0.6938  3 O 2.26
B 0.3333 0.6667 0.7939  3 O 1.38
B 0.6667 0.3333 0.2061  3 O 1.38
O 0.1042 0.3777 0.7874  1 B 1.38
O 0.2734 0.8958 0.7874  1 B 1.38
O 0.3777 0.2734 0.2126  1 B 1.38
O 0.6223 0.7266 0.7874  1 B 1.38
O 0.7266 0.1042 0.2126  1 B 1.38
O 0.8958 0.6223 0.2126  1 B 1.38